(1)
Computed, not measured: an optimized crystal structure of RbGaBi2 at the PBE-GGA level of DFT.

Computed properties:
The calculation puts the energy relative to the elements at -0.04 eV per atom. The density of states at the Fermi level is 5.2 states/eV/cell. The value obtained for the total magnetic moment is 0.00 Bohr magnetons per cell.

The structure in extended XYZ format:
```
8
Lattice="-2.4415 3.8077 -3.9596 3.2707 -2.4737 -4.3956 -6.6570 -5.6452 -5.8871" Properties=species:S:1:pos:R:3 pbc="T T T"
Ga 0.4146 0.6670 -4.1776
Ga -1.4859 -3.7260 -7.2301
Bi -2.4230 0.1004 -3.9148
Bi -0.2836 -1.9225 -5.2951
Bi -4.2018 -4.0968 -8.1937
Bi -4.7473 -2.7036 -11.0809
Rb 0.0000 0.0000 0.0000
Rb -4.3420 -0.5853 -7.0121
```



(2)
Computed, not measured: an optimized crystal structure of RbGaBi2 at the PBE-GGA level of DFT.

Computed properties:
The calculation puts the energy relative to the elements at -0.20 eV per atom. The density of states at the Fermi level is 0.9 states/eV/cell. The value obtained for the total magnetic moment is 0.00 Bohr magnetons per cell.

The structure in extended XYZ format:
```
8
Lattice="6.0784 0.1236 -2.5904 2.3783 6.1963 -1.0135 -0.2464 -0.0618 7.8485" Properties=species:S:1:pos:R:3 pbc="T T T"
Rb 1.1347 1.5182 5.2274
Rb 7.0756 4.7399 -0.9828
Ga 4.8456 1.5800 5.5084
Ga 3.3646 4.6781 -1.2638
Bi 6.6235 5.4459 2.9225
Bi 4.1273 3.9103 3.9864
Bi 1.5867 0.8122 1.3221
Bi 4.0830 2.3477 0.2582
```